{"formula": "TaCr2Ag", "functional": "PBE", "state": "relaxed", "cell": [[2.760, 0.000, 0.000], [0.000, 4.389, 0.000], [-0.684, 0.000, 5.188]], "species": ["Ta", "Cr", "Cr", "Ag"], "frac_coords": [[0.000, 0.000, 0.000], [0.309, 0.500, 0.808], [0.691, 0.500, 0.192], [0.500, 0.000, 0.500]], "m_tot_mub_per_cell": 0.00, "vol_a3_per_cell": 62.9, "ef_mev_per_atom": 488, "dos_ef_per_ev_atom": 1.121, "sg": "P2/m (10)"}



{"formula": "Ba2CaAg", "functional": "PBE", "state": "relaxed", "cell": [[8.489, 0.000, 0.000], [0.000, 8.489, 0.000], [0.000, 0.000, 8.489]], "species": ["Ba", "Ba", "Ba", "Ba", "Ba", "Ba", "Ba", "Ba", "Ca", "Ca", "Ca", "Ca", "Ag", "Ag", "Ag", "Ag"], "frac_coords": [[0.000, 0.000, 0.000], [0.000, 0.500, 0.500], [0.250, 0.250, 0.250], [0.250, 0.750, 0.750], [0.500, 0.000, 0.500], [0.500, 0.500, 0.000], [0.750, 0.250, 0.750], [0.750, 0.750, 0.250], [0.250, 0.250, 0.750], [0.250, 0.750, 0.250], [0.750, 0.250, 0.250], [0.750, 0.750, 0.750], [0.000, 0.000, 0.500], [0.000, 0.500, 0.000], [0.500, 0.000, 0.000], [0.500, 0.500, 0.500]], "m_tot_mub_per_cell": 0.00, "vol_a3_per_cell": 611.8, "ef_mev_per_atom": 81, "dos_ef_per_ev_atom": 1.144, "sg": "F-43m (216)"}